(1)
# ErInFeNi

ErInFeNi after structural relaxation (PBE, OQMD). Values from VASP.

Geometry as Quantum ESPRESSO input:
```
&SYSTEM
  ibrav = 0, nat = 8, ntyp = 4
/
ATOMIC_SPECIES
Er 167.26 Er.upf
Fe 55.84 Fe.upf
In 114.82 In.upf
Ni 58.69 Ni.upf
ATOMIC_POSITIONS angstrom
Er 1.252 0.000 1.516
Er 3.757 0.000 5.566
Fe 3.757 0.000 2.913
Fe 1.252 0.000 4.170
In 3.757 2.020 1.046
In 1.252 2.020 6.037
Ni 0.000 2.020 3.541
Ni 2.504 2.020 3.541
CELL_PARAMETERS angstrom
5.009 0.000 0.000
0.000 4.039 0.000
0.000 0.000 7.083
```

* uncorrected energy: -44.30 eV per cell
* polymorph energy (0 for the lowest one): 93 meV per atom

---

(2)
# NbAlFeRe

NbAlFeRe after structural relaxation (PBE, OQMD). Values from VASP.

Geometry as Quantum ESPRESSO input:
```
&SYSTEM
  ibrav = 0, nat = 4, ntyp = 4
/
ATOMIC_SPECIES
Al 26.98 Al.upf
Fe 55.84 Fe.upf
Nb 92.91 Nb.upf
Re 186.21 Re.upf
ATOMIC_POSITIONS angstrom
Al 0.000 0.000 0.000
Fe 4.603 4.603 4.603
Nb 3.069 3.069 3.069
Re 1.534 1.534 1.534
CELL_PARAMETERS angstrom
0.000 3.069 3.069
3.069 0.000 3.069
3.069 3.069 0.000
```

* uncorrected energy: -35.35 eV per cell
* polymorph energy (0 for the lowest one): 0 meV per atom

---

(3)
# Nd2YAl3Cu2Ni

Nd2YAl3Cu2Ni after structural relaxation (PBE, OQMD). Values from VASP.

Geometry as Quantum ESPRESSO input:
```
&SYSTEM
  ibrav = 0, nat = 9, ntyp = 5
/
ATOMIC_SPECIES
Al 26.98 Al.upf
Cu 63.55 Cu.upf
Nd 144.24 Nd.upf
Ni 58.69 Ni.upf
Y 88.91 Y.upf
ATOMIC_POSITIONS angstrom
Al 2.035 0.000 1.606
Al 2.035 1.388 6.222
Al 2.035 -1.388 6.222
Cu 2.035 2.011 3.541
Cu 2.035 -2.011 3.541
Nd 0.000 2.561 1.461
Nd 0.000 -2.561 1.461
Ni 0.000 0.000 7.012
Y 0.000 0.000 4.144
CELL_PARAMETERS angstrom
4.069 0.000 0.000
0.000 6.206 3.521
0.000 -6.206 3.521
```

* uncorrected energy: -44.31 eV per cell

---

(4)
# CuH26C20S2Cl

CuH26C20S2Cl after structural relaxation (PBE, OQMD). Values from VASP.

Geometry as Quantum ESPRESSO input:
```
&SYSTEM
  ibrav = 0, nat = 100, ntyp = 5
/
ATOMIC_SPECIES
C 12.01 C.upf
Cl 35.45 Cl.upf
Cu 63.55 Cu.upf
H 1.01 H.upf
S 32.06 S.upf
ATOMIC_POSITIONS angstrom
C 5.284 1.234 0.146
C 6.660 1.451 0.192
C 7.221 5.993 0.651
C 7.847 9.737 0.933
C 3.198 10.186 1.037
C 6.487 4.785 1.223
C 2.895 3.428 1.758
C 3.338 5.889 2.050
C 1.146 9.475 2.122
C 2.529 9.717 2.167
C 2.336 2.222 2.189
C 2.735 4.600 2.513
C 5.959 4.961 2.640
C 7.825 8.913 3.310
C 1.621 2.170 3.387
C 6.029 11.039 3.658
C 2.009 4.538 3.710
C 1.464 3.331 4.148
C 5.253 11.977 4.574
C 6.070 13.118 5.171
C 4.848 2.362 6.065
C 5.665 3.503 6.663
C 9.454 12.149 7.088
C 8.909 10.942 7.526
C 4.889 4.440 7.579
C 9.297 13.310 7.849
C 3.093 6.567 7.926
C 4.959 10.519 8.596
C 8.183 10.880 8.724
C 8.582 13.257 9.047
C 8.389 5.763 9.069
C 9.772 6.005 9.114
C 7.580 9.590 9.186
C 8.023 12.052 9.478
C 4.431 10.694 10.014
C 7.720 5.294 10.199
C 3.071 5.742 10.303
C 3.697 9.487 10.586
C 4.258 14.029 11.045
C 5.634 14.245 11.090
Cl 3.897 8.812 5.467
Cl 7.021 6.667 5.770
Cu 4.666 6.595 5.153
Cu 6.252 8.885 6.084
H 6.514 6.822 0.482
H 5.672 4.483 0.542
H 3.459 3.460 0.822
H 6.773 9.539 0.883
H 3.569 5.851 0.977
H 4.757 0.883 1.034
H 4.277 10.348 1.076
H 7.219 1.259 1.109
H 7.174 3.926 1.252
H 7.942 6.367 1.398
H 2.458 1.318 1.589
H 2.671 6.747 2.219
H 6.505 11.586 2.828
H 5.423 4.062 2.984
H 6.913 8.374 3.019
H 3.073 9.519 3.096
H 5.358 10.271 3.246
H 6.782 5.143 3.346
H 1.578 12.895 3.730
H 8.458 8.221 3.884
H 4.416 12.394 3.987
H 1.857 5.443 4.303
H 6.135 2.045 4.358
H 8.303 3.307 5.086
H 4.799 11.372 5.376
H 4.003 2.769 5.483
H 6.915 12.711 5.754
H 6.119 4.107 5.861
H 2.615 12.173 6.150
H 4.783 13.435 6.878
H 9.061 10.037 6.933
H 6.502 3.086 7.249
H 2.460 7.258 7.353
H 9.340 2.585 7.507
H 4.136 10.337 7.890
H 5.560 5.209 7.990
H 7.845 5.960 8.140
H 4.005 7.106 8.217
H 5.495 11.417 8.252
H 4.413 3.894 8.408
H 8.247 8.733 9.018
H 8.460 14.162 9.647
H 2.976 9.113 9.838
H 3.744 11.553 9.984
H 3.699 14.220 10.127
H 6.641 5.132 10.160
H 6.161 14.597 10.203
H 7.349 9.629 10.259
H 4.145 5.941 10.353
H 7.459 12.020 10.414
H 5.246 10.996 10.694
H 4.404 8.658 10.754
S 4.879 6.394 2.917
S 7.342 10.157 4.567
S 3.576 5.322 6.669
S 6.039 9.085 8.319
CELL_PARAMETERS angstrom
7.395 0.000 0.000
0.386 11.670 0.000
3.137 3.810 11.236
```

* uncorrected energy: -582.18 eV per cell

---

(5)
# CdAs2O

CdAs2O after structural relaxation (PBE, OQMD). Values from VASP.

Geometry as Quantum ESPRESSO input:
```
&SYSTEM
  ibrav = 0, nat = 8, ntyp = 3
/
ATOMIC_SPECIES
As 74.92 As.upf
Cd 112.41 Cd.upf
O 16.00 O.upf
ATOMIC_POSITIONS angstrom
As 0.995 0.995 0.963
As 2.984 2.984 2.489
As 0.995 0.995 6.350
As 2.984 2.984 7.876
Cd 2.984 0.995 4.420
Cd 0.995 2.984 4.420
O 2.984 0.995 0.000
O 0.995 2.984 0.000
CELL_PARAMETERS angstrom
3.978 0.000 0.000
0.000 3.978 0.000
0.000 0.000 8.839
```

* uncorrected energy: -30.74 eV per cell
* polymorph energy (0 for the lowest one): 352 meV per atom

---

(6)
# HfCuAgAs

HfCuAgAs after structural relaxation (PBE, OQMD). Values from VASP.

Geometry as Quantum ESPRESSO input:
```
&SYSTEM
  ibrav = 0, nat = 4, ntyp = 4
/
ATOMIC_SPECIES
Ag 107.87 Ag.upf
As 74.92 As.upf
Cu 63.55 Cu.upf
Hf 178.49 Hf.upf
ATOMIC_POSITIONS angstrom
Ag -4.301 1.553 3.301
As 0.000 0.000 0.000
Cu -6.452 2.329 4.951
Hf -2.151 0.776 1.650
CELL_PARAMETERS angstrom
-4.283 -1.041 1.333
-1.314 0.783 4.343
-3.005 3.364 0.926
```

* uncorrected energy: -21.20 eV per cell
* polymorph energy (0 for the lowest one): 0 meV per atom

---

(7)
# BaPdSeO

BaPdSeO after structural relaxation (PBE, OQMD). Values from VASP.

Geometry as Quantum ESPRESSO input:
```
&SYSTEM
  ibrav = 0, nat = 8, ntyp = 4
/
ATOMIC_SPECIES
Ba 137.33 Ba.upf
O 16.00 O.upf
Pd 106.42 Pd.upf
Se 78.96 Se.upf
ATOMIC_POSITIONS angstrom
Ba 0.298 -1.164 2.247
Ba 1.363 1.424 5.571
O -1.684 -0.057 1.306
O 1.800 -0.581 4.220
Pd -1.391 3.336 4.594
Pd 5.544 -1.627 6.922
Se 3.024 -3.026 3.241
Se 0.398 4.310 7.191
CELL_PARAMETERS angstrom
-4.929 4.001 1.754
2.802 -5.944 0.442
4.238 2.465 6.290
```

* uncorrected energy: -40.16 eV per cell
* polymorph energy (0 for the lowest one): 140 meV per atom

---

(8)
# Tb3FeSi3

Tb3FeSi3 after structural relaxation (PBE, OQMD). Values from VASP.

Geometry as Quantum ESPRESSO input:
```
&SYSTEM
  ibrav = 0, nat = 14, ntyp = 3
/
ATOMIC_SPECIES
Fe 55.84 Fe.upf
Si 28.09 Si.upf
Tb 158.93 Tb.upf
ATOMIC_POSITIONS angstrom
Fe 0.551 0.000 5.254
Fe 5.094 0.000 7.373
Si 0.809 0.000 0.954
Si -0.591 0.000 3.060
Si 6.765 0.000 5.765
Si -1.120 0.000 6.862
Si 6.236 0.000 9.567
Si 4.836 0.000 11.673
Tb 3.815 0.000 1.020
Tb 6.787 0.000 2.904
Tb 3.668 0.000 4.790
Tb 1.978 0.000 7.837
Tb -1.141 0.000 9.723
Tb 1.830 0.000 11.607
CELL_PARAMETERS angstrom
5.289 -2.086 0.000
5.289 2.086 0.000
-4.932 0.000 12.627
```

* uncorrected energy: -87.16 eV per cell

---

(9)
# ScSnAuSe3

ScSnAuSe3 after structural relaxation (PBE, OQMD). Values from VASP.

Geometry as Quantum ESPRESSO input:
```
&SYSTEM
  ibrav = 0, nat = 12, ntyp = 4
/
ATOMIC_SPECIES
Au 196.97 Au.upf
Sc 44.96 Sc.upf
Se 78.96 Se.upf
Sn 118.71 Sn.upf
ATOMIC_POSITIONS angstrom
Au -6.821 -2.688 -2.521
Au -8.805 -4.114 2.190
Sc 0.000 0.000 0.000
Sc -2.796 -1.701 4.031
Se -6.655 -2.315 -5.064
Se -10.505 -3.936 -5.603
Se -9.009 -3.747 -1.671
Se -6.617 -3.056 1.339
Se -5.121 -2.866 5.272
Se -8.971 -4.488 4.732
Sn -3.686 -1.626 0.102
Sn -11.940 -5.177 -0.434
CELL_PARAMETERS angstrom
-5.803 0.095 -3.985
-4.231 -3.495 -4.410
-5.593 -3.403 8.063
```

* uncorrected energy: -57.16 eV per cell
* polymorph energy (0 for the lowest one): 102 meV per atom

---

(10)
# Hf4CoCuSb2

Hf4CoCuSb2 after structural relaxation (PBE, OQMD). Values from VASP.

Geometry as Quantum ESPRESSO input:
```
&SYSTEM
  ibrav = 0, nat = 8, ntyp = 4
/
ATOMIC_SPECIES
Co 58.93 Co.upf
Cu 63.55 Cu.upf
Hf 178.49 Hf.upf
Sb 121.76 Sb.upf
ATOMIC_POSITIONS angstrom
Co 1.648 0.000 1.497
Cu 1.515 1.902 5.848
Hf 3.977 0.000 0.508
Hf 2.780 1.902 2.958
Hf 0.324 0.000 4.286
Hf -0.926 1.902 6.989
Sb -0.052 1.902 2.117
Sb 3.181 0.000 5.233
CELL_PARAMETERS angstrom
5.602 0.000 0.000
0.000 3.804 0.000
-2.486 0.000 7.361
```

* uncorrected energy: -62.20 eV per cell

---

(11)
# LaPr2Cu2Si4Au2

LaPr2Cu2Si4Au2 after structural relaxation (PBE, OQMD). Values from VASP.

Geometry as Quantum ESPRESSO input:
```
&SYSTEM
  ibrav = 0, nat = 11, ntyp = 5
/
ATOMIC_SPECIES
Au 196.97 Au.upf
Cu 63.55 Cu.upf
La 138.91 La.upf
Pr 140.91 Pr.upf
Si 28.09 Si.upf
ATOMIC_POSITIONS angstrom
Au 0.000 0.000 6.141
Au 0.000 0.000 18.426
Cu 0.000 2.157 2.307
Cu 2.111 0.000 9.976
La 0.000 0.000 0.000
Pr 0.000 2.157 8.708
Pr 2.111 0.000 3.575
Si 0.000 0.000 11.071
Si 0.000 0.000 13.496
Si 0.000 2.157 4.625
Si 2.111 0.000 7.658
CELL_PARAMETERS angstrom
-2.111 2.157 12.283
2.111 -2.157 12.283
2.111 2.157 -12.283
```

* uncorrected energy: -57.23 eV per cell

---

(12)
# NpF4

NpF4 after structural relaxation (PBE, OQMD). Values from VASP.

Geometry as Quantum ESPRESSO input:
```
&SYSTEM
  ibrav = 0, nat = 10, ntyp = 2
/
ATOMIC_SPECIES
F 19.00 F.upf
Np 237.00 Np.upf
ATOMIC_POSITIONS angstrom
F 3.062 3.630 3.036
F 1.146 5.560 2.680
F 1.255 3.138 1.334
F 3.548 1.708 1.334
F 5.464 3.638 1.689
F 4.142 6.053 1.689
F 6.544 6.060 3.036
F 8.460 4.130 2.680
Np 4.803 4.845 3.525
Np 7.205 7.268 4.871
CELL_PARAMETERS angstrom
0.000 4.845 2.693
4.803 0.000 2.693
4.803 4.845 0.000
```

* uncorrected energy: -73.75 eV per cell
* polymorph energy (0 for the lowest one): 151 meV per atom

---

(13)
# TaPbC

TaPbC after structural relaxation (PBE, OQMD). Values from VASP.

Geometry as Quantum ESPRESSO input:
```
&SYSTEM
  ibrav = 0, nat = 9, ntyp = 3
/
ATOMIC_SPECIES
C 12.01 C.upf
Pb 207.20 Pb.upf
Ta 180.95 Ta.upf
ATOMIC_POSITIONS angstrom
C -1.163 -2.522 0.496
C 1.112 -2.993 3.435
C 1.909 -3.158 4.466
Pb 0.948 -0.196 1.225
Pb 0.432 -0.763 5.155
Pb 4.399 -0.910 5.684
Ta -1.480 -0.368 2.684
Ta 2.673 -0.553 3.455
Ta 2.345 -1.159 7.626
CELL_PARAMETERS angstrom
-3.319 2.102 2.905
-0.084 -4.834 -0.709
5.347 -1.106 6.909
```

* uncorrected energy: -56.32 eV per cell

---

(14)
# Er3Zn3NiAu2

Er3Zn3NiAu2 after structural relaxation (PBE, OQMD). Values from VASP.

Geometry as Quantum ESPRESSO input:
```
&SYSTEM
  ibrav = 0, nat = 9, ntyp = 4
/
ATOMIC_SPECIES
Au 196.97 Au.upf
Er 167.26 Er.upf
Ni 58.69 Ni.upf
Zn 65.41 Zn.upf
ATOMIC_POSITIONS angstrom
Au -1.949 -4.118 0.640
Au -2.073 -1.450 3.843
Er -0.046 -2.195 1.827
Er -0.021 -6.026 1.809
Er -0.166 -2.873 5.595
Ni -0.116 -5.541 4.610
Zn -1.924 -1.569 -0.636
Zn -2.009 0.267 1.569
Zn -2.042 -4.277 3.484
CELL_PARAMETERS angstrom
-3.906 -0.025 -0.129
0.126 -6.768 -2.492
-0.243 1.224 7.105
```

* uncorrected energy: -35.22 eV per cell

---

(15)
# NdGd2Ag4Sn4

NdGd2Ag4Sn4 after structural relaxation (PBE, OQMD). Values from VASP.

Geometry as Quantum ESPRESSO input:
```
&SYSTEM
  ibrav = 0, nat = 11, ntyp = 4
/
ATOMIC_SPECIES
Ag 107.87 Ag.upf
Gd 157.25 Gd.upf
Nd 144.24 Nd.upf
Sn 118.71 Sn.upf
ATOMIC_POSITIONS angstrom
Ag 0.000 2.246 5.058
Ag 0.000 2.246 10.318
Ag 2.293 1.467 -2.630
Ag 2.293 1.467 2.630
Gd 0.000 3.714 1.971
Gd 2.293 0.000 5.717
Nd 0.000 0.000 0.000
Sn 0.000 0.000 3.323
Sn 0.000 0.000 12.052
Sn 0.000 1.433 7.688
Sn 2.293 2.281 0.000
CELL_PARAMETERS angstrom
-2.293 3.714 7.688
2.293 -3.714 7.688
2.293 3.714 -7.688
```

* uncorrected energy: -47.25 eV per cell

---

(16)
# ZrAsPtO

ZrAsPtO after structural relaxation (PBE, OQMD). Values from VASP.

Geometry as Quantum ESPRESSO input:
```
&SYSTEM
  ibrav = 0, nat = 8, ntyp = 4
/
ATOMIC_SPECIES
As 74.92 As.upf
O 16.00 O.upf
Pt 195.08 Pt.upf
Zr 91.22 Zr.upf
ATOMIC_POSITIONS angstrom
As 2.867 2.867 2.370
As 0.956 0.956 5.890
O 2.867 0.956 0.000
O 0.956 2.867 0.000
Pt 2.867 0.956 4.130
Pt 0.956 2.867 4.130
Zr 0.956 0.956 1.236
Zr 2.867 2.867 7.025
CELL_PARAMETERS angstrom
3.823 0.000 0.000
0.000 3.823 0.000
0.000 0.000 8.261
```

* uncorrected energy: -59.40 eV per cell
* polymorph energy (0 for the lowest one): 0 meV per atom

---

(17)
# InMoOs2

InMoOs2 after structural relaxation (PBE, OQMD). Values from VASP.

Geometry as Quantum ESPRESSO input:
```
&SYSTEM
  ibrav = 0, nat = 4, ntyp = 3
/
ATOMIC_SPECIES
In 114.82 In.upf
Mo 95.94 Mo.upf
Os 190.23 Os.upf
ATOMIC_POSITIONS angstrom
In -4.185 -2.636 -2.457
Mo -2.092 -1.318 -1.229
Os 0.000 0.000 0.000
Os -6.277 -3.953 -3.686
CELL_PARAMETERS angstrom
-1.868 -4.031 -0.770
-4.486 -0.405 -0.199
-2.016 -0.834 -3.946
```

* uncorrected energy: -33.58 eV per cell

---

(18)
# K2NaCuH6

K2NaCuH6 after structural relaxation (PBE, OQMD). Values from VASP.

Geometry as Quantum ESPRESSO input:
```
&SYSTEM
  ibrav = 0, nat = 10, ntyp = 4
/
ATOMIC_SPECIES
Cu 63.55 Cu.upf
H 1.01 H.upf
K 39.10 K.upf
Na 22.99 Na.upf
ATOMIC_POSITIONS angstrom
Cu 0.000 0.000 0.000
H 3.949 1.662 3.949
H 3.949 3.949 6.237
H 1.662 3.949 3.949
H 3.949 6.237 3.949
H 6.237 3.949 3.949
H 3.949 3.949 1.662
K 1.975 1.975 1.975
K 5.924 5.924 5.924
Na 3.949 3.949 3.949
CELL_PARAMETERS angstrom
0.000 3.949 3.949
3.949 0.000 3.949
3.949 3.949 0.000
```

* uncorrected energy: -27.37 eV per cell

---

(19)
# TbGd2Mg3Pd2Pt

TbGd2Mg3Pd2Pt after structural relaxation (PBE, OQMD). Values from VASP.

Geometry as Quantum ESPRESSO input:
```
&SYSTEM
  ibrav = 0, nat = 9, ntyp = 5
/
ATOMIC_SPECIES
Gd 157.25 Gd.upf
Mg 24.30 Mg.upf
Pd 106.42 Pd.upf
Pt 195.08 Pt.upf
Tb 158.93 Tb.upf
ATOMIC_POSITIONS angstrom
Gd -1.651 1.677 3.713
Gd 4.353 -0.197 -0.580
Mg -0.706 2.557 0.670
Mg 1.759 1.787 -1.092
Mg 3.423 3.758 3.147
Pd 0.565 3.643 2.996
Pd 3.939 2.590 0.583
Pt 0.003 0.002 0.004
Tb 1.861 1.019 2.158
CELL_PARAMETERS angstrom
-0.059 3.735 -1.713
-2.789 2.833 6.273
7.355 -0.333 -0.980
```

* uncorrected energy: -41.94 eV per cell

---

(20)
# HfFeBiOs

HfFeBiOs after structural relaxation (PBE, OQMD). Values from VASP.

Geometry as Quantum ESPRESSO input:
```
&SYSTEM
  ibrav = 0, nat = 4, ntyp = 4
/
ATOMIC_SPECIES
Bi 208.98 Bi.upf
Fe 55.84 Fe.upf
Hf 178.49 Hf.upf
Os 190.23 Os.upf
ATOMIC_POSITIONS angstrom
Bi 0.000 0.000 0.000
Fe -0.314 -6.550 5.367
Hf -0.210 -4.367 3.578
Os -0.105 -2.183 1.789
CELL_PARAMETERS angstrom
2.431 -2.549 2.977
-2.020 -1.663 3.798
-0.830 -4.521 0.380
```

* uncorrected energy: -32.82 eV per cell
* polymorph energy (0 for the lowest one): 0 meV per atom